1.
8
Lattice="3.244 0.000 0.000 -1.622 2.809 0.000 0.000 0.000 13.262" Properties=species:S:1:pos:R:3 comment="PBE Hf4CoSiC2, relaxed" space_group="P-6m2, No. 187" crystal_system=hexagonal pbc="T T T"
Hf 0.000 0.000 1.912
Hf 0.000 0.000 11.350
Hf 1.622 0.936 4.536
Hf 1.622 0.936 8.727
Co 1.622 0.936 0.000
Si 0.000 0.000 6.631
C 0.000 1.873 3.277
C 0.000 1.873 9.985


2.
8
Lattice="3.281 0.000 0.000 -1.640 2.841 0.000 0.000 0.000 13.814" Properties=species:S:1:pos:R:3 comment="PBE Hf4CoSnC2, relaxed" space_group="P-6m2, No. 187" crystal_system=hexagonal pbc="T T T"
Hf 0.000 0.000 1.891
Hf 0.000 0.000 11.922
Hf 1.640 0.947 4.475
Hf 1.640 0.947 9.339
Co 1.640 0.947 0.000
Sn 0.000 0.000 6.907
C 0.000 1.894 3.265
C 0.000 1.894 10.548


3.
24
Lattice="5.246 -2.969 0.000 5.246 2.969 0.000 -3.451 0.000 13.638" Properties=species:S:1:pos:R:3 comment="PBE Y4Hf2Co3C3, relaxed" space_group="C2/c, No. 15" crystal_system=monoclinic pbc="T T T"
Y 0.860 0.471 1.493
Y 0.869 0.515 5.323
Y -0.865 -0.471 8.313
Y -0.857 -0.515 12.142
Y 7.897 0.515 1.496
Y 7.906 0.471 5.326
Y 6.172 -0.515 8.315
Y 6.180 -0.471 12.145
Hf 4.321 0.507 1.117
Hf 4.446 0.507 5.702
Hf 2.595 -0.507 7.936
Hf 2.720 -0.507 12.521
Co 3.001 0.861 3.394
Co 2.658 0.926 10.229
Co 5.765 0.861 3.425
Co 1.276 -0.861 10.213
Co 4.383 -0.926 3.410
Co 4.039 -0.861 10.244
C 2.623 1.485 0.000
C 2.705 1.387 6.786
C 6.062 1.387 0.033
C 0.897 -1.485 6.819
C 0.979 -1.387 13.605
C 4.336 -1.387 6.852


4.
24
Lattice="4.873 -2.811 0.000 4.873 2.811 0.000 -3.286 0.000 13.344" Properties=species:S:1:pos:R:3 comment="PBE Hf2Zr4Co3C3, relaxed" space_group="C2/c, No. 15" crystal_system=monoclinic pbc="T T T"
Hf 2.424 2.345 8.088
Hf 2.394 2.345 11.928
Hf 4.067 -2.345 1.416
Hf 4.037 -2.345 5.256
Zr 2.437 0.471 1.287
Zr 2.419 0.470 5.384
Zr 0.794 -0.471 7.959
Zr 0.776 -0.470 12.056
Zr 5.685 0.470 1.288
Zr 5.667 0.471 5.385
Zr 4.042 -0.470 7.960
Zr 4.024 -0.471 12.057
Co -0.116 0.880 10.005
Co 1.527 -0.880 3.333
Co 4.052 0.398 3.336
Co 2.409 -0.398 10.008
Co 4.934 0.880 10.011
Co 6.577 -0.880 3.339
C 0.794 1.405 6.672
C 4.100 1.473 0.000
C 4.004 1.473 6.672
C 2.437 -1.405 0.000
C 2.457 -1.473 6.672
C 2.361 -1.473 13.344


5.
8
Lattice="3.002 0.000 0.000 -1.501 2.600 0.000 0.000 0.000 11.461" Properties=species:S:1:pos:R:3 comment="PBE Co4HgC2S, relaxed" space_group="P-6m2, No. 187" crystal_system=hexagonal pbc="T T T"
Co 0.000 0.000 1.633
Co 0.000 0.000 9.827
Co 1.501 0.867 3.443
Co 1.501 0.867 8.018
Hg 0.000 0.000 5.730
C 0.000 1.733 2.652
C 0.000 1.733 8.809
S 1.501 0.867 0.000


6.
5
Lattice="4.657 0.000 0.000 0.000 4.657 0.000 0.000 0.000 3.686" Properties=species:S:1:pos:R:3 comment="PBE Sc2CoHgC, relaxed" space_group="P4/mmm, No. 123" crystal_system=tetragonal pbc="T T T"
Sc 0.000 2.329 0.000
Sc 2.329 0.000 0.000
Co 0.000 0.000 1.843
Hg 2.329 2.329 1.843
C 0.000 0.000 0.000


7.
14
Lattice="-3.718 4.766 2.511 3.718 -4.766 2.511 3.718 4.766 -2.511" Properties=species:S:1:pos:R:3 comment="PBE Ho2CoC4, relaxed" space_group="Ibam, No. 72" crystal_system=orthorhombic pbc="T T T"
Ho 1.182 1.387 0.000
Ho 1.182 -1.387 2.511
Ho 2.535 6.153 0.000
Ho 2.535 3.379 2.511
Co 3.718 0.000 1.255
Co 0.000 4.766 1.255
C 4.978 0.751 0.000
C 6.255 1.214 0.000
C 2.537 3.552 0.000
C 1.261 4.015 0.000
C 2.457 0.751 2.511
C 1.180 1.214 2.511
C -2.537 3.552 2.511
C -1.261 4.015 2.511


8.
6
Lattice="3.598 0.000 0.000 0.000 3.598 0.000 0.000 0.000 6.763" Properties=species:S:1:pos:R:3 comment="PBE HoLuCo2C2, relaxed" space_group="P-4m2, No. 115" crystal_system=tetragonal pbc="T T T"
Ho 0.000 0.000 0.000
Lu 0.000 0.000 3.382
Co 1.799 1.799 1.759
Co 1.799 1.799 5.004
C 0.000 1.799 1.727
C 1.799 0.000 5.036


9.
7
Lattice="5.449 -1.943 0.000 5.449 1.943 0.000 -4.272 0.000 5.438" Properties=species:S:1:pos:R:3 comment="PBE Ho2CoSi2MoC, relaxed" space_group="Cm, No. 8" crystal_system=monoclinic pbc="T T T"
Ho 0.000 0.000 0.000
Ho -1.092 0.000 3.226
Co 3.064 0.000 1.099
Si 2.104 0.000 3.333
Si 3.672 0.000 5.399
Mo 6.685 0.000 2.097
C 4.829 0.000 1.572


10.
10
Lattice="-1.723 1.723 9.685 1.723 -1.723 9.685 1.723 1.723 -9.685" Properties=species:S:1:pos:R:3 comment="PBE Y2HoCo2C2N3, relaxed" space_group="I4/mmm, No. 139" crystal_system=tetragonal pbc="T T T"
Y 0.000 0.000 2.456
Y 0.000 0.000 16.913
Ho 0.000 0.000 9.685
Co 1.723 0.000 4.842
Co 0.000 1.723 4.842
C 0.000 0.000 5.935
C 0.000 0.000 13.435
N 0.000 0.000 0.000
N 0.000 0.000 7.363
N 0.000 0.000 12.007


no.,magnetization (μB per formula unit),energy (eV for the cell shown)
1,0.213,-75.75
2,0.248,-74.21
3,2.608,-194.15
4,0.077,-215.05
5,0.032,-49.67
6,0.009,-31.49
7,0.485,-110.31
8,0.592,-43.85
9,0.000,-51.43
10,0.004,-84.40